5
Lattice="5.9621 0.0000 0.0000 0.0000 5.9634 0.0000 0.0000 0.0000 5.9621" Properties=species:S:1:pos:R:3 comment="SrRuPb2I | Alexandria | PBE-GGA | optimized geometry" formation_energy_uncorrected_kj_per_mol_atoms=107 m_tot_mub_per_fu=2.4 space_group="P4/mmm (123)" pbc="T T T"
Pb 2.9810 0.0000 0.0000
I 0.0000 0.0000 0.0000
Sr 0.0000 2.9817 0.0000
Ru 2.9810 2.9817 2.9810
Pb 0.0000 0.0000 2.9810

6
Lattice="-5.3501 -1.3405 0.4507 -3.7448 -2.9629 2.7967 -1.3167 7.8568 6.3345" Properties=species:S:1:pos:R:3 comment="SmTmHf | Alexandria | PBE-GGA | optimized geometry" e_above_lowest_polymorph_mev_per_atom=161 ef_mev_per_atom=285 m_tot_mub_per_fu=0.0 space_group="C2/m (12)" pbc="T T T"
Tm -5.1254 0.8057 4.0644
Tm -3.4461 6.2248 6.6629
Hf -2.3403 0.8481 2.1879
Sm -2.9128 3.3367 4.3007
Hf -4.9142 -1.6743 2.2049
Sm -5.6592 3.6934 6.4267

For reference, final energy by record: -14.4 -18.3 eV/f.u..